w) CeTh3C2: relaxed, GGA-PBE.

Computed properties:
* SG: C2/m (12)
* DOS at the Fermi energy: 9.6 states/eV/f.u.

a = 3.6474 Å, b = 8.4386 Å, c = 9.8719 Å
α = 89.31°, β = 79.35°, γ = 77.52°
Closest atoms and distances in Å follow each position.
Positions (direct):
Ce 0.4398 0.4193 0.7011  3 C 2.53-2.54
Ce 0.5602 0.5807 0.2989  3 C 2.53-2.54
Th 0.0614 0.0726 0.8047  3 C 2.55-2.56
Th 0.9386 0.9274 0.1953  3 C 2.55-2.56
Th 0.6920 0.6732 0.9429  3 C 2.54-2.56
Th 0.3080 0.3268 0.0571  3 C 2.54-2.56
Th 0.8132 0.8229 0.5507  3 C 2.55-2.56
Th 0.1868 0.1771 0.4493  3 C 2.55-2.56
C 0.8751 0.3726 0.8772  2 Ce 2.54, 4 Th 2.54-2.56
C 0.1249 0.6274 0.1228  2 Ce 2.54, 4 Th 2.54-2.56
C 0.6257 0.1233 0.6254  1 Ce 2.53, 5 Th 2.55-2.56
C 0.3743 0.8767 0.3746  1 Ce 2.53, 5 Th 2.55-2.56

x) CeTh3C2: relaxed, GGA-PBE.

Computed properties:
* SG: Pnnm (58)
* DOS at the Fermi energy: 7.3 states/eV/f.u.

a = 3.6844 Å, b = 6.3176 Å, c = 12.1263 Å
α = 90.00°, β = 90.00°, γ = 90.00°
Closest atoms and distances in Å follow each position.
Positions (direct):
Ce 0.0000 0.0000 0.5000  2 C 2.53
Ce 0.5000 0.5000 0.0000  2 C 2.53
Th 0.0000 0.0000 0.0000  4 C 2.65
Th 0.5000 0.5000 0.5000  4 C 2.65
Th 0.5000 0.8625 0.7396  3 C 2.57-2.59
Th 0.5000 0.1375 0.2604  3 C 2.57-2.59
Th 0.0000 0.3625 0.7604  3 C 2.57-2.59
Th 0.0000 0.6375 0.2396  3 C 2.57-2.59
C 0.5000 0.8190 0.1262  1 Ce 2.53, 5 Th 2.57-2.65
C 0.0000 0.3190 0.3738  1 Ce 2.53, 5 Th 2.57-2.65
C 0.0000 0.6810 0.6262  1 Ce 2.53, 5 Th 2.57-2.65
C 0.5000 0.1810 0.8738  1 Ce 2.53, 5 Th 2.57-2.65

The most stable of them is w).

w) CeTh4C4: relaxed, GGA-PBE.

Computed properties:
* SG: I-42m (121)
* DOS at the Fermi energy: 7.7 states/eV/f.u.

a = 5.9459 Å, b = 5.9459 Å, c = 7.1374 Å
α = 114.62°, β = 114.62°, γ = 90.00°
Closest atoms and distances in Å follow each position.
Positions (direct):
Ce 0.0000 0.0000 0.0000  4 C 2.51
Th 0.5000 0.0000 0.0000  4 C 2.55
Th 0.0000 0.5000 0.0000  4 C 2.55
Th 0.2717 0.2717 0.5434  4 C 2.46-2.66
Th 0.7283 0.7283 0.4566  4 C 2.46-2.66
C 0.6312 0.6312 0.7509  4 Th 2.46-2.66, 1 Ce 2.51
C 0.3688 0.8803 0.2491  4 Th 2.46-2.66, 1 Ce 2.51
C 0.1197 0.1197 0.7509  4 Th 2.46-2.66, 1 Ce 2.51
C 0.8803 0.3688 0.2491  4 Th 2.46-2.66, 1 Ce 2.51

x) CeTh4C4: relaxed, GGA-PBE.

Computed properties:
* SG: I4/m (87)
* DOS at the Fermi energy: 8.1 states/eV/f.u.

a = 5.3328 Å, b = 6.4742 Å, c = 6.4740 Å
α = 80.24°, β = 65.68°, γ = 65.68°
Closest atoms and distances in Å follow each position.
Positions (direct):
Ce 0.0000 0.0000 0.0000  4 C 2.59
Th 0.6038 0.5902 0.2023  5 C 2.50-2.70
Th 0.3962 0.4098 0.7977  5 C 2.50-2.70
Th 0.1940 0.2021 0.4098  5 C 2.50-2.70
Th 0.8060 0.7979 0.5902  5 C 2.50-2.70
C 0.9106 0.3865 0.7923  5 Th 2.50-2.70, 1 Ce 2.59
C 0.0894 0.6135 0.2077  5 Th 2.50-2.70, 1 Ce 2.59
C 0.2971 0.7923 0.6135  5 Th 2.50-2.70, 1 Ce 2.59
C 0.7029 0.2077 0.3865  5 Th 2.50-2.70, 1 Ce 2.59

The most stable of them is x).

w) Ce2ThC: relaxed, GGA-PBE.

Computed properties:
* SG: R-3m (166)
* DOS at the Fermi energy: 6.4 states/eV/f.u.

a = 3.6908 Å, b = 3.6908 Å, c = 9.9897 Å
α = 79.35°, β = 79.35°, γ = 60.00°
Closest atoms and distances in Å follow each position.
Positions (direct):
C 0.0000 0.0000 0.0000  2 Ce 2.03
Ce 0.0693 0.0693 0.7920  1 C 2.03
Ce 0.9307 0.9307 0.2080  1 C 2.03
Th 0.5000 0.5000 0.5000  6 Ce 3.56, 6 Th 3.69

x) Ce2ThC: relaxed, GGA-PBE.

Computed properties:
* SG: R3m (160)
* DOS at the Fermi energy: 8.2 states/eV/f.u.

a = 3.5472 Å, b = 3.5472 Å, c = 9.1084 Å
α = 78.77°, β = 78.77°, γ = 60.00°
Closest atoms and distances in Å follow each position.
Positions (direct):
Ce 0.0540 0.0540 0.8379  3 C 2.51
Ce 0.2786 0.2786 0.1642  3 C 2.51
Th 0.5009 0.5009 0.4973  6 Th 3.55, 6 Ce 3.60-3.65
C 0.6665 0.6665 0.0005  6 Ce 2.51

y) Ce2ThC: relaxed, GGA-PBE.

Computed properties:
* SG: P4/mmm (123)
* DOS at the Fermi energy: 6.4 states/eV/f.u.

a = 3.2604 Å, b = 3.2604 Å, c = 8.3511 Å
α = 90.00°, β = 90.00°, γ = 90.00°
Closest atoms and distances in Å follow each position.
Positions (direct):
C 0.5000 0.5000 0.0000  8 Ce 2.69
Ce 0.0000 0.0000 0.8334  4 C 2.69, 1 Ce 2.78
Ce 0.0000 0.0000 0.1666  4 C 2.69, 1 Ce 2.78
Th 0.5000 0.5000 0.5000  4 Th 3.26, 8 Ce 3.61

The most stable of them is x).

w) CeTmC2: relaxed, GGA-PBE.

Computed properties:
* SG: R-3m (166)
* DOS at the Fermi energy: 7.5 states/eV/f.u.

a = 3.6182 Å, b = 3.6182 Å, c = 6.2006 Å
α = 73.04°, β = 73.04°, γ = 60.00°
Closest atoms and distances in Å follow each position.
Positions (direct):
C 0.2492 0.2492 0.2524  3 Ce 2.54, 3 Tm 2.56
C 0.7508 0.7508 0.7476  3 Ce 2.54, 3 Tm 2.56
Tm 0.0000 0.0000 0.0000  6 C 2.56
Ce 0.5000 0.5000 0.5000  6 C 2.54

x) CeTmC2: relaxed, GGA-PBE.

Computed properties:
* SG: R3m (160)
* DOS at the Fermi energy: 4.5 states/eV/f.u.

a = 3.5787 Å, b = 3.5787 Å, c = 6.2636 Å
α = 73.40°, β = 73.40°, γ = 60.00°
Closest atoms and distances in Å follow each position.
Positions (direct):
Ce 0.6658 0.6658 0.0026  6 C 2.50-2.56
Tm 0.4963 0.4963 0.5110  6 C 2.49-2.61
C 0.0846 0.0846 0.7463  3 Tm 2.49, 3 Ce 2.56
C 0.2533 0.2533 0.2401  3 Ce 2.50, 3 Tm 2.61

The most stable of them is w).

w) CeUC2: relaxed, GGA-PBE.

Computed properties:
* SG: Pmmn (59)
* DOS at the Fermi energy: 5.9 states/eV/f.u.

a = 3.4189 Å, b = 6.1354 Å, c = 6.0065 Å
α = 90.00°, β = 90.00°, γ = 90.00°
Closest atoms and distances in Å follow each position.
Positions (direct):
Ce 0.2500 0.2500 0.5852  6 C 2.61-2.69
Ce 0.7500 0.7500 0.4148  6 C 2.61-2.69
U 0.7500 0.2500 0.0818  6 C 2.37-2.42
U 0.2500 0.7500 0.9182  6 C 2.37-2.42
C 0.2500 0.4962 0.2151  3 U 2.37-2.42, 2 Ce 2.61
C 0.7500 0.5038 0.7849  3 U 2.37-2.42, 2 Ce 2.61
C 0.7500 0.9962 0.7849  3 U 2.37-2.42, 2 Ce 2.61
C 0.2500 0.0038 0.2151  3 U 2.37-2.42, 2 Ce 2.61

x) CeUC2: relaxed, GGA-PBE.

Computed properties:
* SG: P-3m1 (164)
* DOS at the Fermi energy: 6.1 states/eV/f.u.

a = 3.5433 Å, b = 3.5435 Å, c = 5.9583 Å
α = 90.06°, β = 90.00°, γ = 120.00°
Closest atoms and distances in Å follow each position.
Positions (direct):
Ce 0.0000 0.5000 0.5000  6 C 2.67, 2 U 2.98
U 0.0000 0.5000 0.0000  6 C 2.40-2.41
C 0.6668 0.8335 0.7875  3 U 2.40-2.41, 3 Ce 2.67
C 0.3332 0.1665 0.2125  3 U 2.40-2.41, 3 Ce 2.67

y) CeUC2: relaxed, GGA-PBE.

Computed properties:
* SG: R3m (160)
* DOS at the Fermi energy: 4.4 states/eV/f.u.

a = 3.4077 Å, b = 3.4077 Å, c = 6.5362 Å
α = 74.89°, β = 74.89°, γ = 60.00°
Closest atoms and distances in Å follow each position.
Positions (direct):
Ce 0.6711 0.6711 0.9867  6 C 2.53-2.69
U 0.5004 0.5004 0.4988  6 C 2.39-2.45
C 0.0892 0.0892 0.7324  3 U 2.45, 3 Ce 2.53
C 0.2393 0.2393 0.2821  3 U 2.39

z) CeUC2: relaxed, GGA-PBE.

Computed properties:
* SG: R-3m (166)
* DOS at the Fermi energy: 4.8 states/eV/f.u.

a = 3.5910 Å, b = 3.5910 Å, c = 6.1526 Å
α = 73.03°, β = 73.03°, γ = 60.00°
Closest atoms and distances in Å follow each position.
Positions (direct):
C 0.7348 0.7348 0.7957  3 U 2.39
C 0.2652 0.2652 0.2043  3 U 2.39
U 0.0000 0.0000 0.0000  6 C 2.39
Ce 0.5000 0.5000 0.5000  6 C 2.69

The most stable of them is z).

w) Ce2UC: relaxed, GGA-PBE.

Computed properties:
* SG: R-3m (166)
* DOS at the Fermi energy: 8.5 states/eV/f.u.

a = 3.2714 Å, b = 3.2714 Å, c = 9.0739 Å
α = 79.61°, β = 79.61°, γ = 60.00°
Closest atoms and distances in Å follow each position.
Positions (direct):
C 0.5000 0.5000 0.5000  6 Ce 2.42
U 0.0000 0.0000 0.0000  2 Ce 2.92
Ce 0.1095 0.1095 0.6714  3 C 2.42
Ce 0.8905 0.8905 0.3286  3 C 2.42

x) Ce2UC: relaxed, GGA-PBE.

Computed properties:
* SG: P4/mmm (123)
* DOS at the Fermi energy: 6.9 states/eV/f.u.

a = 3.1124 Å, b = 3.1124 Å, c = 8.1184 Å
α = 90.00°, β = 90.00°, γ = 90.00°
Closest atoms and distances in Å follow each position.
Positions (direct):
C 0.5000 0.5000 0.5000  8 Ce 2.62
U 0.5000 0.5000 0.0000  4 U 3.11, 8 Ce 3.43
Ce 0.0000 0.0000 0.6753  4 C 2.62, 1 Ce 2.85
Ce 0.0000 0.0000 0.3247  4 C 2.62, 1 Ce 2.85

The most stable of them is w).